[1]
Below is an optimized crystal structure of KAs2P2, with properties calculated at the PBE level.

Output
SG: P4/mbm (127)
Volume, Å³/atom: 23.5
E, eV/atom: -3.981

a b c (Å): 8.4470 8.4470 3.2886
angles (deg): 90.00 90.00 90.00
Element x y z (fractional)
K 0.0000 0.0000 0.0000
K 0.5000 0.5000 0.0000
As 0.1010 0.3990 0.0000
As 0.3990 0.8990 0.0000
As 0.6010 0.1010 0.0000
As 0.8990 0.6010 0.0000
P 0.1461 0.6461 0.5000
P 0.3539 0.1461 0.5000
P 0.6461 0.8539 0.5000
P 0.8539 0.3539 0.5000

[2]
Below is an optimized crystal structure of K2AsP, with properties calculated at the PBE level.

Output
SG: R3m (160)
Volume, Å³/atom: 39.1
E, eV/atom: -3.241

a b c (Å): 9.4304 9.4304 9.4304
angles (deg): 27.37 27.37 27.37
Element x y z (fractional)
K 0.0000 0.0000 0.0000
K 0.1657 0.1657 0.1657
As 0.7530 0.7530 0.7530
P 0.4112 0.4112 0.4112

[3]
Below is an optimized crystal structure of K2AsP, with properties calculated at the PBE level.

Output
SG: I4/mmm (139)
Volume, Å³/atom: 24.3
E, eV/atom: -3.046

a b c (Å): 5.9649 5.9649 5.9649
angles (deg): 137.12 137.12 62.26
Element x y z (fractional)
K 0.2500 0.7500 0.5000
K 0.7500 0.2500 0.5000
As 0.0000 0.0000 0.0000
P 0.5000 0.5000 0.0000

[4]
Below is an optimized crystal structure of KAsP2, with properties calculated at the PBE level.

Output
SG: Pmmn (59)
Volume, Å³/atom: 28.2
E, eV/atom: -4.316

a b c (Å): 3.7462 9.4526 6.3812
angles (deg): 90.00 90.00 90.00
Element x y z (fractional)
K 0.2500 0.2500 0.1100
K 0.7500 0.7500 0.8900
As 0.2500 0.7500 0.3310
As 0.7500 0.2500 0.6690
P 0.2500 0.5606 0.5600
P 0.2500 0.9394 0.5600
P 0.7500 0.0606 0.4400
P 0.7500 0.4394 0.4400

[5]
Below is an optimized crystal structure of KAsP2, with properties calculated at the PBE level.

Output
SG: P4/mmm (123)
Volume, Å³/atom: 23.0
E, eV/atom: -4.035

a b c (Å): 3.7577 3.7577 6.5125
angles (deg): 90.00 90.00 90.00
Element x y z (fractional)
K 0.0000 0.0000 0.0000
As 0.0000 0.0000 0.5000
P 0.5000 0.5000 0.3389
P 0.5000 0.5000 0.6611

[6]
Below is an optimized crystal structure of KAsP2, with properties calculated at the PBE level.

Output
SG: I4/mmm (139)
Volume, Å³/atom: 20.5
E, eV/atom: -3.567

a b c (Å): 5.1832 5.1832 5.1832
angles (deg): 128.90 128.90 75.17
Element x y z (fractional)
K 0.0000 0.0000 0.0000
As 0.5000 0.5000 0.0000
P 0.2500 0.7500 0.5000
P 0.7500 0.2500 0.5000

[7]
Below is an optimized crystal structure of KAs2P, with properties calculated at the PBE level.

Output
SG: P2/m (10)
Volume, Å³/atom: 22.4
E, eV/atom: -3.902

a b c (Å): 2.9282 4.9807 6.1345
angles (deg): 90.00 90.08 90.00
Element x y z (fractional)
K 0.0000 0.0000 0.0000
As 0.4988 0.5000 0.3030
As 0.5012 0.5000 0.6970
P 0.5000 0.0000 0.5000

[8]
Below is an optimized crystal structure of KAs2P, with properties calculated at the PBE level.

Output
SG: P4/mmm (123)
Volume, Å³/atom: 21.3
E, eV/atom: -3.571

a b c (Å): 4.3607 4.3607 4.4724
angles (deg): 90.00 90.00 90.00
Element x y z (fractional)
K 0.0000 0.0000 0.0000
As 0.0000 0.5000 0.5000
As 0.5000 0.0000 0.5000
P 0.5000 0.5000 0.0000

[9]
Below is an optimized crystal structure of KAs2P, with properties calculated at the PBE level.

Output
SG: Pmm2 (25)
Volume, Å³/atom: 22.9
E, eV/atom: -3.955

a b c (Å): 2.9239 5.0979 6.1423
angles (deg): 90.00 90.00 90.00
Element x y z (fractional)
K 0.0000 0.0000 0.0000
As 0.5000 0.0000 0.5105
As 0.5000 0.5000 0.3125
P 0.5000 0.5000 0.6890

[10]
Below is an optimized crystal structure of KAsP, with properties calculated at the PBE level.

Output
SG: P1 (1)
Volume, Å³/atom: 27.9
E, eV/atom: -3.982

a b c (Å): 3.5161 4.7509 5.3368
angles (deg): 81.81 71.84 88.91
Element x y z (fractional)
K 0.0000 0.0000 0.0000
As 0.6959 0.5877 0.5943
P 0.2956 0.3852 0.3951

[11]
Below is an optimized crystal structure of KAsP2, with properties calculated at the PBE level.

Output
SG: P4/mmm (123)
Volume, Å³/atom: 20.2
E, eV/atom: -3.612

a b c (Å): 4.3659 4.3659 4.2333
angles (deg): 90.00 90.00 90.00
Element x y z (fractional)
K 0.0000 0.0000 0.0000
As 0.5000 0.5000 0.0000
P 0.0000 0.5000 0.5000
P 0.5000 0.0000 0.5000

[12]
Below is an optimized crystal structure of KAsP, with properties calculated at the PBE level.

Output
SG: F-43m (216)
Volume, Å³/atom: 27.5
E, eV/atom: -3.333

a b c (Å): 4.8851 4.8851 4.8851
angles (deg): 60.00 60.00 60.00
Element x y z (fractional)
K 0.0000 0.0000 0.0000
As 0.2500 0.2500 0.2500
P 0.5000 0.5000 0.5000